A plane-wave DFT calculation with PBE+U was carried out for an optimized crystal structure of K2CrF6.

E_tot (Ry/atom): -0.3685

Cell and atoms, written as POSCAR:
```
K2CrF6
1.0
6.0537 0.0000 0.0000
0.0000 7.6261 0.0000
-3.7599 0.0000 6.5929
K Cr F
4 2 12
direct
0.1842 0.0681 0.3125
0.1842 0.4319 0.8125
0.8158 0.5681 0.1875
0.8158 0.9319 0.6875
0.5000 0.0000 0.0000
0.5000 0.5000 0.5000
0.2045 0.1158 0.9685
0.2045 0.3842 0.4685
0.3300 0.7117 0.4457
0.3300 0.7883 0.9457
0.3827 0.0294 0.7257
0.3827 0.4706 0.2257
0.6173 0.5294 0.7743
0.6173 0.9706 0.2743
0.6700 0.2117 0.0543
0.6700 0.2883 0.5543
0.7955 0.6158 0.5315
0.7955 0.8842 0.0315
```